! Ba2NiSb2H4 (PBE-GGA, optimized geometry); values from VASP
&SYSTEM
  ibrav = 0, nat = 9, ntyp = 4
/
ATOMIC_SPECIES
Ba 137.33 Ba.upf
Ni 58.69 Ni.upf
Sb 121.76 Sb.upf
H 1.01 H.upf
CELL_PARAMETERS angstrom
-0.510 5.889 2.249
-5.352 -2.620 -2.118
1.452 -4.459 4.242
ATOMIC_POSITIONS crystal
Ba 0.500 0.750 0.250
Ba 0.500 0.250 0.750
Ni 0.000 0.000 0.000
Sb 0.000 0.671 0.671
Sb 0.000 0.329 0.329
H 0.000 0.837 0.163
H 0.674 0.837 0.837
H 0.000 0.163 0.837
H 0.326 0.163 0.163
! D(E_F), states/eV/f.u.: 5.46
! E, eV/atom: -3.731